Nd3Dy | PBEsol | relaxed

Cell and atoms, written as POSCAR:
```
Nd3Dy
1.0
7.1842 0.0000 0.0000
-3.5921 6.2217 0.0000
0.0000 0.0000 5.7818
Nd Dy
6 2
direct
0.1670 0.3340 0.2500
0.1670 0.8330 0.2500
0.3340 0.1670 0.7500
0.6660 0.8330 0.2500
0.8330 0.1670 0.7500
0.8330 0.6660 0.7500
0.3333 0.6667 0.7500
0.6667 0.3333 0.2500
```

Calculated values
Offset from the most stable computed form, eV per atom: 0.021
M_tot, μB/f.u.: 0.00
VASP energy, eV/atom: -5.091
Energy relative to the elements, eV per atom: 0.028
Space group: P6_3/mmc, No. 194

SrMgP3 | PBEsol | relaxed

Cell and atoms, written as POSCAR:
```
SrMgP3
1.0
5.2706 0.0000 0.0000
0.0000 5.2706 0.0000
0.0000 0.0000 5.2706
Sr Mg P
1 1 3
direct
0.0000 0.0000 0.0000
0.5000 0.5000 0.5000
0.0000 0.0000 0.5000
0.0000 0.5000 0.0000
0.5000 0.0000 0.0000
```

Calculated values
M_tot, μB/f.u.: 0.00
VASP energy, eV/atom: -3.074
Energy relative to the elements, eV per atom: 1.113
Space group: Pm-3m, No. 221

Number 2 is which compound? SrMgP3

Look up the M_tot of the first one. 0.00 μB/f.u.